## i
This record from the Alexandria database describes a geometry-optimized HfRePO2 structure. The functional is PBE-GGA. Values from VASP.

Quantum ESPRESSO input file:
```
&SYSTEM
  ibrav = 0, nat = 5, ntyp = 4
/
ATOMIC_SPECIES
Hf 178.49 Hf.upf
P 30.97 P.upf
O 16.00 O.upf
Re 186.21 Re.upf
ATOMIC_POSITIONS crystal
Hf 0.000 0.000 0.000
P 0.000 0.000 0.500
O 0.000 0.500 0.000
O 0.500 0.000 0.000
Re 0.500 0.500 0.500
CELL_PARAMETERS angstrom
-3.098 -1.187 -2.095
-2.090 -0.370 3.300
-1.714 5.334 -0.488
```

Crystal system: tetragonal

---

## ii
This record from the Alexandria database describes a geometry-optimized HfRePO2 structure. The functional is PBE-GGA. Values from VASP.

Quantum ESPRESSO input file:
```
&SYSTEM
  ibrav = 0, nat = 5, ntyp = 4
/
ATOMIC_SPECIES
O 16.00 O.upf
P 30.97 P.upf
Re 186.21 Re.upf
Hf 178.49 Hf.upf
ATOMIC_POSITIONS crystal
O 0.500 0.000 0.000
O 0.000 0.500 0.000
P 0.000 0.000 0.500
Re 0.000 0.000 0.000
Hf 0.500 0.500 0.500
CELL_PARAMETERS angstrom
3.778 0.000 0.000
0.000 3.778 0.000
0.000 0.000 5.327
```

Crystal system: tetragonal

---

Which of them is most stable? Easy: ii.

---

## i
This record from the Alexandria database describes a geometry-optimized HfP2RhO structure. The functional is PBE-GGA. Values from VASP.

Quantum ESPRESSO input file:
```
&SYSTEM
  ibrav = 0, nat = 5, ntyp = 4
/
ATOMIC_SPECIES
O 16.00 O.upf
P 30.97 P.upf
Hf 178.49 Hf.upf
Rh 102.91 Rh.upf
ATOMIC_POSITIONS crystal
O 0.000 0.000 0.500
P 0.500 0.000 0.000
P 0.000 0.500 0.000
Hf 0.500 0.500 0.500
Rh 0.000 0.000 0.000
CELL_PARAMETERS angstrom
-3.684 3.042 -0.045
-0.550 -0.736 -4.688
-2.294 -2.768 0.704
```

Crystal system: tetragonal

---

## ii
This record from the Alexandria database describes a geometry-optimized HfP2RhO structure. The functional is PBE-GGA. Values from VASP.

Quantum ESPRESSO input file:
```
&SYSTEM
  ibrav = 0, nat = 5, ntyp = 4
/
ATOMIC_SPECIES
O 16.00 O.upf
P 30.97 P.upf
Rh 102.91 Rh.upf
Hf 178.49 Hf.upf
ATOMIC_POSITIONS crystal
O 0.000 0.000 0.500
P 0.500 0.000 0.000
P 0.000 0.500 0.000
Rh 0.500 0.500 0.500
Hf 0.000 0.000 0.000
CELL_PARAMETERS angstrom
5.064 0.000 0.000
0.000 5.064 0.000
0.000 0.000 3.842
```

Crystal system: tetragonal

---

Which of them is most stable? Easy: ii.

---

## i
This record from the Alexandria database describes a geometry-optimized HfPRhO2 structure. The functional is PBE-GGA. Values from VASP.

Quantum ESPRESSO input file:
```
&SYSTEM
  ibrav = 0, nat = 5, ntyp = 4
/
ATOMIC_SPECIES
Hf 178.49 Hf.upf
O 16.00 O.upf
P 30.97 P.upf
Rh 102.91 Rh.upf
ATOMIC_POSITIONS crystal
Hf 0.000 0.000 0.000
O 0.000 0.500 0.000
O 0.500 0.000 0.000
P 0.000 0.000 0.500
Rh 0.500 0.500 0.500
CELL_PARAMETERS angstrom
-2.723 -2.782 0.355
2.771 -2.745 -0.258
0.623 0.103 5.587
```

Crystal system: tetragonal

---

## ii
This record from the Alexandria database describes a geometry-optimized HfPRhO2 structure. The functional is PBE-GGA. Values from VASP.

Quantum ESPRESSO input file:
```
&SYSTEM
  ibrav = 0, nat = 5, ntyp = 4
/
ATOMIC_SPECIES
Rh 102.91 Rh.upf
P 30.97 P.upf
O 16.00 O.upf
Hf 178.49 Hf.upf
ATOMIC_POSITIONS crystal
Rh 0.000 0.000 0.000
P 0.000 0.000 0.500
O 0.500 0.000 0.000
O 0.000 0.500 0.000
Hf 0.500 0.500 0.500
CELL_PARAMETERS angstrom
-0.296 -3.097 -2.341
3.876 -0.101 -0.356
0.267 -2.836 3.718
```

Crystal system: tetragonal

---

Which of them is most stable? Easy: i.

---

## i
This record from the Alexandria database describes a geometry-optimized HfP2RuO structure. The functional is PBE-GGA. Values from VASP.

Quantum ESPRESSO input file:
```
&SYSTEM
  ibrav = 0, nat = 5, ntyp = 4
/
ATOMIC_SPECIES
Hf 178.49 Hf.upf
P 30.97 P.upf
Ru 101.07 Ru.upf
O 16.00 O.upf
ATOMIC_POSITIONS crystal
Hf 0.500 0.500 0.500
P 0.000 0.500 0.000
P 0.500 0.000 0.000
Ru 0.000 0.000 0.000
O 0.000 0.000 0.500
CELL_PARAMETERS angstrom
4.781 0.000 0.000
0.000 4.781 0.000
0.000 0.000 3.635
```

Crystal system: tetragonal

---

## ii
This record from the Alexandria database describes a geometry-optimized HfP2RuO structure. The functional is PBE-GGA. Values from VASP.

Quantum ESPRESSO input file:
```
&SYSTEM
  ibrav = 0, nat = 5, ntyp = 4
/
ATOMIC_SPECIES
O 16.00 O.upf
Hf 178.49 Hf.upf
Ru 101.07 Ru.upf
P 30.97 P.upf
ATOMIC_POSITIONS crystal
O 0.000 0.000 0.500
Hf 0.000 0.000 0.000
Ru 0.500 0.500 0.500
P 0.000 0.500 0.000
P 0.500 0.000 0.000
CELL_PARAMETERS angstrom
5.068 0.000 0.000
0.000 5.068 0.000
0.000 0.000 3.848
```

Crystal system: tetragonal

---

Which of them is most stable? Easy: i.

---

## i
This record from the Alexandria database describes a geometry-optimized HfPRuO2 structure. The functional is PBE-GGA. Values from VASP.

Quantum ESPRESSO input file:
```
&SYSTEM
  ibrav = 0, nat = 5, ntyp = 4
/
ATOMIC_SPECIES
Ru 101.07 Ru.upf
O 16.00 O.upf
P 30.97 P.upf
Hf 178.49 Hf.upf
ATOMIC_POSITIONS crystal
Ru 0.500 0.500 0.500
O 0.500 0.000 0.000
O 0.000 0.500 0.000
P 0.000 0.000 0.500
Hf 0.000 0.000 0.000
CELL_PARAMETERS angstrom
-3.513 -1.703 0.457
1.735 -3.521 0.216
0.445 0.556 5.497
```

Crystal system: tetragonal

---

## ii
This record from the Alexandria database describes a geometry-optimized HfPRuO2 structure. The functional is PBE-GGA. Values from VASP.

Quantum ESPRESSO input file:
```
&SYSTEM
  ibrav = 0, nat = 5, ntyp = 4
/
ATOMIC_SPECIES
O 16.00 O.upf
Hf 178.49 Hf.upf
P 30.97 P.upf
Ru 101.07 Ru.upf
ATOMIC_POSITIONS crystal
O 0.500 0.000 0.000
O 0.000 0.500 0.000
Hf 0.500 0.500 0.500
P 0.000 0.000 0.500
Ru 0.000 0.000 0.000
CELL_PARAMETERS angstrom
3.825 0.000 0.000
0.000 3.825 0.000
0.000 0.000 4.897
```

Crystal system: tetragonal

---

Which of them is most stable? Easy: i.

---

## i
This record from the Alexandria database describes a geometry-optimized HfP2SeO structure. The functional is PBE-GGA. Values from VASP.

Quantum ESPRESSO input file:
```
&SYSTEM
  ibrav = 0, nat = 5, ntyp = 4
/
ATOMIC_SPECIES
Hf 178.49 Hf.upf
O 16.00 O.upf
P 30.97 P.upf
Se 78.96 Se.upf
ATOMIC_POSITIONS crystal
Hf 0.500 0.500 0.500
O 0.000 0.000 0.500
P 0.000 0.500 0.000
P 0.500 0.000 0.000
Se 0.000 0.000 0.000
CELL_PARAMETERS angstrom
4.721 0.000 0.000
0.000 4.721 0.000
0.000 0.000 3.766
```

Crystal system: tetragonal

---

## ii
This record from the Alexandria database describes a geometry-optimized HfP2SeO structure. The functional is PBE-GGA. Values from VASP.

Quantum ESPRESSO input file:
```
&SYSTEM
  ibrav = 0, nat = 5, ntyp = 4
/
ATOMIC_SPECIES
Se 78.96 Se.upf
P 30.97 P.upf
Hf 178.49 Hf.upf
O 16.00 O.upf
ATOMIC_POSITIONS crystal
Se 0.500 0.500 0.500
P 0.500 0.000 0.000
P 0.000 0.500 0.000
Hf 0.000 0.000 0.000
O 0.000 0.000 0.500
CELL_PARAMETERS angstrom
5.180 0.000 0.000
0.000 5.180 0.000
0.000 0.000 3.901
```

Crystal system: tetragonal

---

Which of them is most stable? Easy: ii.

---

## i
This record from the Alexandria database describes a geometry-optimized SrHfP2O structure. The functional is PBE-GGA. Values from VASP.

Quantum ESPRESSO input file:
```
&SYSTEM
  ibrav = 0, nat = 5, ntyp = 4
/
ATOMIC_SPECIES
P 30.97 P.upf
Sr 87.62 Sr.upf
Hf 178.49 Hf.upf
O 16.00 O.upf
ATOMIC_POSITIONS crystal
P 0.500 0.000 0.000
P 0.000 0.500 0.000
Sr 0.000 0.000 0.000
Hf 0.500 0.500 0.500
O 0.000 0.000 0.500
CELL_PARAMETERS angstrom
-2.444 3.209 -3.327
-4.611 -1.959 1.497
-0.260 2.891 2.980
```

Crystal system: tetragonal

---

## ii
This record from the Alexandria database describes a geometry-optimized SrHfP2O structure. The functional is PBE-GGA. Values from VASP.

Quantum ESPRESSO input file:
```
&SYSTEM
  ibrav = 0, nat = 5, ntyp = 4
/
ATOMIC_SPECIES
Sr 87.62 Sr.upf
O 16.00 O.upf
P 30.97 P.upf
Hf 178.49 Hf.upf
ATOMIC_POSITIONS crystal
Sr 0.500 0.500 0.500
O 0.000 0.000 0.500
P 0.000 0.500 0.000
P 0.500 0.000 0.000
Hf 0.000 0.000 0.000
CELL_PARAMETERS angstrom
-0.827 4.133 -3.050
0.707 -2.968 -4.214
-3.954 -0.842 -0.070
```

Crystal system: tetragonal

---

Which of them is most stable? Easy: ii.

---

## i
This record from the Alexandria database describes a geometry-optimized HfTaP2O structure. The functional is PBE-GGA. Values from VASP.

Quantum ESPRESSO input file:
```
&SYSTEM
  ibrav = 0, nat = 5, ntyp = 4
/
ATOMIC_SPECIES
Ta 180.95 Ta.upf
P 30.97 P.upf
O 16.00 O.upf
Hf 178.49 Hf.upf
ATOMIC_POSITIONS crystal
Ta 0.000 0.000 0.000
P 0.500 0.000 0.000
P 0.000 0.500 0.000
O 0.000 0.000 0.500
Hf 0.500 0.500 0.500
CELL_PARAMETERS angstrom
4.911 0.000 0.000
0.000 4.911 0.000
0.000 0.000 3.768
```

Crystal system: tetragonal

---

## ii
This record from the Alexandria database describes a geometry-optimized HfTaP2O structure. The functional is PBE-GGA. Values from VASP.

Quantum ESPRESSO input file:
```
&SYSTEM
  ibrav = 0, nat = 5, ntyp = 4
/
ATOMIC_SPECIES
P 30.97 P.upf
O 16.00 O.upf
Hf 178.49 Hf.upf
Ta 180.95 Ta.upf
ATOMIC_POSITIONS crystal
P 0.500 0.000 0.000
P 0.000 0.500 0.000
O 0.000 0.000 0.500
Hf 0.000 0.000 0.000
Ta 0.500 0.500 0.500
CELL_PARAMETERS angstrom
4.993 0.000 0.000
0.000 4.993 0.000
0.000 0.000 3.804
```

Crystal system: tetragonal

---

Which of them is most stable? Easy: i.

---

## i
This record from the Alexandria database describes a geometry-optimized HfTcP2O structure. The functional is PBE-GGA. Values from VASP.

Quantum ESPRESSO input file:
```
&SYSTEM
  ibrav = 0, nat = 5, ntyp = 4
/
ATOMIC_SPECIES
P 30.97 P.upf
Hf 178.49 Hf.upf
Tc 98.00 Tc.upf
O 16.00 O.upf
ATOMIC_POSITIONS crystal
P 0.500 0.000 0.000
P 0.000 0.500 0.000
Hf 0.500 0.500 0.500
Tc 0.000 0.000 0.000
O 0.000 0.000 0.500
CELL_PARAMETERS angstrom
4.806 0.000 0.000
0.000 4.806 0.000
0.000 0.000 3.635
```

Crystal system: tetragonal

---

## ii
This record from the Alexandria database describes a geometry-optimized HfTcP2O structure. The functional is PBE-GGA. Values from VASP.

Quantum ESPRESSO input file:
```
&SYSTEM
  ibrav = 0, nat = 5, ntyp = 4
/
ATOMIC_SPECIES
P 30.97 P.upf
Hf 178.49 Hf.upf
O 16.00 O.upf
Tc 98.00 Tc.upf
ATOMIC_POSITIONS crystal
P 0.000 0.500 0.000
P 0.500 0.000 0.000
Hf 0.000 0.000 0.000
O 0.000 0.000 0.500
Tc 0.500 0.500 0.500
CELL_PARAMETERS angstrom
-1.022 4.900 -0.866
-3.699 -1.339 -3.214
-2.539 -0.012 2.928
```

Crystal system: tetragonal

---

Which of them is most stable? Easy: i.

---

## i
This record from the Alexandria database describes a geometry-optimized HfTlP2O structure. The functional is PBE-GGA. Values from VASP.

Quantum ESPRESSO input file:
```
&SYSTEM
  ibrav = 0, nat = 5, ntyp = 4
/
ATOMIC_SPECIES
Tl 204.38 Tl.upf
O 16.00 O.upf
Hf 178.49 Hf.upf
P 30.97 P.upf
ATOMIC_POSITIONS crystal
Tl 0.500 0.500 0.500
O 0.000 0.000 0.500
Hf 0.000 0.000 0.000
P 0.500 0.000 0.000
P 0.000 0.500 0.000
CELL_PARAMETERS angstrom
-1.769 2.145 4.433
-0.435 -4.760 2.130
3.718 0.266 1.355
```

Crystal system: tetragonal

---

## ii
This record from the Alexandria database describes a geometry-optimized HfTlP2O structure. The functional is PBE-GGA. Values from VASP.

Quantum ESPRESSO input file:
```
&SYSTEM
  ibrav = 0, nat = 5, ntyp = 4
/
ATOMIC_SPECIES
Hf 178.49 Hf.upf
P 30.97 P.upf
O 16.00 O.upf
Tl 204.38 Tl.upf
ATOMIC_POSITIONS crystal
Hf 0.500 0.500 0.500
P 0.000 0.500 0.000
P 0.500 0.000 0.000
O 0.000 0.000 0.500
Tl 0.000 0.000 0.000
CELL_PARAMETERS angstrom
-3.994 -2.978 0.553
1.828 -1.639 4.370
-1.954 2.980 1.935
```

Crystal system: tetragonal

---

Which of them is most stable? Easy: i.